A relaxed structure of Ta5Te. Source: Alexandria via LeMat-Bulk, functional GGA-PBE.

Results
**Energy relative to the elements, uncorrected**: 0.39 eV per atom
**Polymorph energy (0 for the lowest one)**: 0.335 eV per atom

Unit cell a=5.4923 b=5.4923 c=5.4923 alpha=60.00 beta=60.00 gamma=60.00
Element x y z (fractional)
Ta 0.1264 0.6245 0.6245
Ta 0.6245 0.6245 0.6245
Ta 0.6245 0.6245 0.1264
Ta 0.6245 0.1264 0.6245
Ta 0.2500 0.2500 0.2500
Te 0.0000 0.0000 0.0000